No. 1
{
  "formula": "Cd2In12Hg5",
  "functional": "PBE-GGA",
  "state": "optimized geometry",
  "relative_energy_mev_per_atom": 0,
  "spacegroup": "C2/m (12)",
  "crystal_system": "monoclinic",
  "lattice": [[5.5765, 0.5338, 2.1203], [2.2855, 9.1532, 6.1796], [1.1788, 0.8310, 11.1854]],
  "species": ["Cd", "Cd", "In", "In", "In", "In", "In", "In", "In", "In", "In", "In", "In", "In", "Hg", "Hg", "Hg", "Hg", "Hg"],
  "frac_coords": [[0.0000, 0.2240, 0.7760], [0.0000, 0.7760, 0.2240], [0.2319, 0.8765, 0.8765], [0.1936, 0.5213, 0.0781], [0.1936, 0.0781, 0.5213], [0.5864, 0.6435, 0.1635], [0.5864, 0.1635, 0.6435], [0.8434, 0.4518, 0.4518], [0.1566, 0.5482, 0.5482], [0.4136, 0.3565, 0.8365], [0.4136, 0.8365, 0.3565], [0.8064, 0.4787, 0.9219], [0.8064, 0.9219, 0.4787], [0.7681, 0.1235, 0.1235], [0.1377, 0.2027, 0.2027], [0.5223, 0.3207, 0.3207], [0.5000, 0.0000, 0.0000], [0.4777, 0.6793, 0.6793], [0.8623, 0.7973, 0.7973]]
}

No. 2
{
  "formula": "Cd2In5Hg2",
  "functional": "PBE-GGA",
  "state": "optimized geometry",
  "relative_energy_mev_per_atom": 0,
  "spacegroup": "Ima2 (46)",
  "crystal_system": "orthorhombic",
  "lattice": [[-1.0400, -5.2158, -2.0898], [5.5417, -2.9771, 4.6727], [-9.5691, 2.4887, 6.3633]],
  "species": ["Cd", "Cd", "Cd", "Cd", "In", "In", "In", "In", "In", "In", "In", "In", "In", "In", "Hg", "Hg", "Hg", "Hg"],
  "frac_coords": [[0.7013, 0.1920, 0.0878], [0.6135, 0.8080, 0.9122], [0.2013, 0.3958, 0.0878], [0.1135, 0.6042, 0.9122], [0.3645, 0.0522, 0.7748], [0.5897, 0.9478, 0.2252], [0.8645, 0.2226, 0.7748], [0.0897, 0.7774, 0.2252], [0.1696, 0.2719, 0.3105], [0.8591, 0.7281, 0.6895], [0.6696, 0.5386, 0.3105], [0.3591, 0.4614, 0.6895], [0.4007, 0.0796, 0.5000], [0.9007, 0.9204, 0.5000], [0.1371, 0.0000, 0.0000], [0.6371, 0.5000, 0.0000], [0.8285, 0.3342, 0.5000], [0.3285, 0.6658, 0.5000]]
}

No. 3
{
  "formula": "Cd4In19Hg6",
  "functional": "PBE-GGA",
  "state": "optimized geometry",
  "spacegroup": "P1 (1)",
  "crystal_system": "triclinic",
  "lattice": [[9.5983, 0.0028, -3.4072], [-4.7755, 8.2065, -3.3472], [-0.0404, 0.0037, 10.1077]],
  "species": ["Cd", "Cd", "Cd", "Cd", "In", "In", "In", "In", "In", "In", "In", "In", "In", "In", "In", "In", "In", "In", "In", "In", "In", "In", "In", "Hg", "Hg", "Hg", "Hg", "Hg", "Hg"],
  "frac_coords": [[0.9999, 0.0003, 0.6613], [0.9997, 0.6625, 0.9998], [0.3377, 0.3380, 0.3381], [0.6598, 0.9999, 0.9998], [0.7209, 0.0004, 0.7209], [0.2821, 0.9998, 0.2819], [0.2812, 0.2812, 0.0005], [0.7193, 0.7194, 0.9995], [0.0004, 0.7190, 0.7185], [0.9996, 0.2796, 0.2799], [0.0005, 0.9998, 0.0002], [0.1981, 0.2046, 0.5417], [0.8019, 0.3451, 0.0074], [0.6629, 0.6562, 0.4577], [0.0063, 0.8011, 0.3429], [0.3363, 0.7946, 0.9932], [0.5417, 0.1985, 0.2057], [0.9935, 0.3380, 0.7955], [0.4571, 0.6624, 0.6549], [0.7942, 0.9921, 0.3368], [0.3437, 0.0075, 0.8019], [0.2047, 0.5424, 0.1987], [0.6565, 0.4580, 0.6625], [0.3583, 0.5005, 0.8579], [0.6418, 0.4995, 0.1417], [0.1427, 0.6424, 0.5007], [0.8578, 0.3570, 0.4989], [0.5012, 0.8584, 0.3586], [0.5004, 0.1416, 0.6431]]
}

No. 4
{
  "formula": "CdInHg",
  "functional": "PBE-GGA",
  "state": "optimized geometry",
  "spacegroup": "I4mm (107)",
  "crystal_system": "tetragonal",
  "lattice": [[-1.8734, -5.6559, -3.2857], [1.8673, -3.4472, -5.5610], [1.5885, 3.2475, 5.7641]],
  "species": ["Cd", "Hg", "In"],
  "frac_coords": [[0.9968, 0.9968, 0.0000], [0.3370, 0.3370, 0.0000], [0.6661, 0.6661, 0.0000]]
}

No. 5
{
  "formula": "CdIn6Hg2",
  "functional": "PBE-GGA",
  "state": "optimized geometry",
  "spacegroup": "P-6m2 (187)",
  "crystal_system": "hexagonal",
  "lattice": [[3.2939, 0.0000, 0.0000], [-1.6470, 2.8526, 0.0000], [0.0000, 0.0000, 25.4175]],
  "species": ["Cd", "In", "In", "In", "In", "In", "In", "Hg", "Hg"],
  "frac_coords": [[0.3333, 0.6667, 0.0000], [0.6667, 0.3333, 0.8936], [0.3333, 0.6667, 0.4384], [0.3333, 0.6667, 0.7809], [0.3333, 0.6667, 0.2191], [0.3333, 0.6667, 0.5616], [0.6667, 0.3333, 0.1064], [0.6667, 0.3333, 0.3293], [0.6667, 0.3333, 0.6707]]
}

No. 6
{
  "formula": "Cd6InHg4",
  "functional": "PBE-GGA",
  "state": "optimized geometry",
  "spacegroup": "I-42m (121)",
  "crystal_system": "tetragonal",
  "lattice": [[-8.1090, 3.2505, 1.7483], [3.8942, -7.3079, -3.2876], [6.7779, -4.0841, 4.0938]],
  "species": ["Cd", "Cd", "Cd", "Cd", "Cd", "Cd", "In", "Hg", "Hg", "Hg", "Hg"],
  "frac_coords": [[0.0000, 0.8234, 0.4457], [0.0000, 0.4457, 0.8234], [0.6223, 0.1766, 0.1766], [0.5000, 0.0000, 0.5000], [0.3777, 0.5543, 0.5543], [0.5000, 0.5000, 0.0000], [0.0000, 0.0000, 0.0000], [0.0000, 0.0292, 0.6198], [0.4094, 0.3802, 0.3802], [0.0000, 0.6198, 0.0292], [0.5906, 0.9708, 0.9708]]
}

Record-wise ΔH_f (0 K) values, in eV per atom: 0.025, 0.042, 0.048, 0.028, 0.025, 0.054
Record-wise total energy values, in eV/f.u.: -35.7, -15.8, -56.1, -3.9, -17.7, -8.8
Record-wise calculated volume values, in A^3/atom: 27.0, 26.6, 27.4, 25.4, 26.5, 26.0